Record 1
Density functional theory data (SCAN) for a PBEsol-optimized structure of FeRh.

Output
As for the total magnetization: 9.3 μB/cell. The calculation puts the calculated total energy at -25.998 eV per atom. Its symmetry is Pmmm. As for the volume: 24.9 Å³/f.u.

Geometry as extended XYZ:
```
6
Lattice="2.6325 0.0000 0.0000 0.0000 3.6339 0.0000 0.0000 0.0000 7.7940" Properties=species:S:1:pos:R:3 pbc="T T T"
Rh 0.0000 0.0000 0.0000
Rh 1.3162 1.8170 1.4069
Rh 1.3162 1.8170 6.3871
Fe 0.0000 0.0000 5.1465
Fe 1.3162 1.8170 3.8970
Fe 0.0000 0.0000 2.6474
```

Record 2
Density functional theory data (SCAN) for a PBEsol-optimized structure of Fe4Rh.

Output
The value obtained for the distance to the lowest polymorph of the same formula is 51 meV per atom. As for the total magnetization: 11.9 μB/cell. Its symmetry is C2/m. As for the volume: 59.1 Å³/f.u.

Geometry as extended XYZ:
```
5
Lattice="2.5366 0.0000 -0.0006 0.0000 4.0142 0.0000 -0.8146 -2.0071 5.8044" Properties=species:S:1:pos:R:3 pbc="T T T"
Fe 2.1779 2.0071 1.1941
Fe 1.2927 2.0071 3.4369
Fe 0.4293 0.0000 2.3669
Fe -0.4560 0.0000 4.6096
Rh 1.2683 0.0000 -0.0003
```

Record 3
Density functional theory data (SCAN) for a PBEsol-optimized structure of Fe4Rh5.

Output
The value obtained for the distance to the lowest polymorph of the same formula is 20 meV per atom. As for the total magnetization: 31.3 μB/cell. Its symmetry is P6_3/mcm. As for the volume: 115.2 Å³/f.u.

Geometry as extended XYZ:
```
18
Lattice="-1.0579 2.3554 -4.3836 -3.9075 -5.7033 -2.1215 -3.1527 5.3854 3.6545" Properties=species:S:1:pos:R:3 pbc="T T T"
Rh -3.9332 2.8669 -0.4626
Rh -4.1848 -0.8294 -2.3880
Rh -1.2873 2.3360 0.0897
Rh -2.9233 5.4048 -0.8188
Rh -3.4043 1.6892 1.7292
Rh -3.4333 -2.0865 -4.7210
Rh -3.6559 -2.0071 -0.1962
Rh -1.5321 -1.2614 -1.7841
Rh -3.0839 1.6634 -2.7904
Rh -5.0342 0.3741 -0.0602
Fe -2.8525 -3.1886 -2.5010
Fe -2.1129 -0.1594 -4.0041
Fe -0.5290 1.1777 -2.1918
Fe -1.8580 3.5851 -2.0537
Fe -2.3525 4.1557 1.3245
Fe 0.0000 0.0000 0.0000
Fe -2.6486 0.4815 -0.5782
Fe -5.4695 1.5560 -2.2724
```

Record 4
Density functional theory data (SCAN) for a PBEsol-optimized structure of Fe3Rh2.

Output
The value obtained for the distance to the lowest polymorph of the same formula is 44 meV per atom. As for the total magnetization: 10.0 μB/cell. Its symmetry is R-3m. As for the volume: 61.6 Å³/f.u.

Geometry as extended XYZ:
```
5
Lattice="-2.5328 0.1898 -0.6242 -0.8222 -0.7425 -2.3692 -2.7214 -9.8195 2.5781" Properties=species:S:1:pos:R:3 pbc="T T T"
Fe -3.0382 -5.1861 -0.2076
Fe -4.8027 -9.2540 0.2359
Fe -1.2737 -1.1182 -0.6512
Rh -2.2445 -6.9529 1.5142
Rh -3.8319 -3.4194 -1.9295
```